Y2Al | meta-GGA SCAN | PBEsol geometry

Cell lengths 3.474, 6.950, 7.137 Å; angles 104.08, 104.08, 90.00 degrees
Last column: magnetic moment on the atom in μB.
Sites, in units of the cell vectors:
1 Al 0.998 0.220 0.995  0.02
2 Y 0.345 0.915 0.689  0.07
3 Y 0.655 0.085 0.311  0.07
4 Al 0.002 0.780 0.005  0.02
5 Y 0.362 0.434 0.723  0.09
6 Y 0.638 0.566 0.277  0.09

Properties
For the density of states at the Fermi level, the calculation gives 2.39 states/eV/f.u. The symmetry is C2/m (12). As for the formation energy: -0.301 eV per atom. As for the magnetic moment: 0.27 μB per formula unit. The volume comes out at 26.97 Å³ per atom. The crystal system is monoclinic.